1.
Crystalline Li2CrCS at its relaxed geometry, computed with PBE-GGA.

Structure (POSCAR):
```
Li2CrCS
1.0
5.084 0.000 0.000
0.000 3.609 0.000
0.000 0.000 5.084
C Li Cr S
1 2 1 1
Cartesian
0.000 1.805 0.000
2.542 0.000 0.000
0.000 0.000 2.542
0.000 0.000 0.000
2.542 1.805 2.542
```

Computed properties:
Uncorrected formation energy   79 kJ/mol of atoms
Size of the total moment   2.725 μB per formula unit
Crystal system   tetragonal
Electronic total energy   -4.54 eV per atom
Space-group type   P4/mmm (123)

---

2.
Crystalline LiSc2CrC at its relaxed geometry, computed with PBE-GGA.

Structure (POSCAR):
```
LiSc2CrC
1.0
4.638 0.000 0.000
0.000 4.638 0.000
0.000 0.000 3.859
Sc Li Cr C
2 1 1 1
Cartesian
0.000 2.319 0.000
2.319 0.000 0.000
2.319 2.319 1.930
0.000 0.000 1.930
0.000 0.000 0.000
```

Computed properties:
Size of the total moment   2.111 μB per formula unit
ΔH_f (0 K)   -0.103 eV per atom
Crystal system   tetragonal
Electronic total energy   -6.79 eV per atom
Space-group type   P4/mmm (123)

---

3.
Crystalline LiSmCrC at its relaxed geometry, computed with PBE-GGA.

Structure (POSCAR):
```
LiSmCrC
1.0
-2.618 -0.830 1.941
-0.043 -3.071 -1.371
7.115 -3.680 8.021
Li C Sm Cr
2 2 2 2
Cartesian
2.870 -4.351 3.468
1.583 -3.230 5.124
0.145 -1.394 1.056
4.309 -6.187 7.536
-0.377 -3.763 2.253
4.831 -3.818 6.339
-1.974 -1.390 1.113
-0.687 -2.511 -0.543
```

Computed properties:
Size of the total moment   0.000 μB per formula unit
ΔH_f (0 K)   -0.032 eV per atom
Crystal system   tetragonal
Electronic total energy   -6.40 eV per atom
Space-group type   P4/nmm (129)

---

4.
Crystalline LiTbCrC at its relaxed geometry, computed with PBE-GGA.

Structure (POSCAR):
```
LiTbCrC
1.0
-0.765 -1.313 2.970
2.771 -1.855 -0.106
5.654 8.156 5.065
Li Tb Cr C
2 2 2 2
Cartesian
2.946 2.629 4.733
4.714 2.359 3.195
4.870 5.509 4.629
2.790 -0.521 3.299
0.119 -1.449 2.201
1.887 -1.720 0.663
6.491 4.817 6.614
1.169 0.171 1.314
```

Computed properties:
Size of the total moment   0.000 μB per formula unit
ΔH_f (0 K)   -0.048 eV per atom
Crystal system   tetragonal
Electronic total energy   -6.40 eV per atom
Space-group type   P4/nmm (129)